Entry 1:
Rb4PaSn3O12: optimized geometry, PBE-GGA.

Summary:
Space group: Im-3m, No. 229

The structure in POSCAR format:
```
Rb4PaSn3O12
1.0
-4.2554 4.2554 4.2554
4.2554 -4.2554 4.2554
4.2554 4.2554 -4.2554
Rb Pa Sn O
4 1 3 12
direct
0.0000 0.0000 0.5000
0.0000 0.5000 0.0000
0.5000 0.0000 0.0000
0.5000 0.5000 0.5000
0.0000 0.0000 0.0000
0.0000 0.5000 0.5000
0.5000 0.0000 0.5000
0.5000 0.5000 0.0000
0.0000 0.2559 0.2559
0.0000 0.7441 0.7441
0.2500 0.5000 0.7500
0.2500 0.7500 0.5000
0.2559 0.0000 0.2559
0.2559 0.2559 0.0000
0.5000 0.2500 0.7500
0.5000 0.7500 0.2500
0.7441 0.0000 0.7441
0.7441 0.7441 0.0000
0.7500 0.2500 0.5000
0.7500 0.5000 0.2500
```

Entry 2:
ZrReBr: optimized geometry, PBE-GGA.

Summary:
Offset from the most stable computed form (kJ per mole of atoms): 20.3
Space group: I4mm, No. 107

The structure in POSCAR format:
```
ZrReBr
1.0
3.1998 0.0000 0.0000
0.0000 3.1998 0.0000
0.0000 0.0000 11.9927
Zr Re Br
2 2 2
direct
0.0000 0.0000 0.0000
0.5000 0.5000 0.5000
0.0000 0.0000 0.6333
0.5000 0.5000 0.1333
0.0000 0.0000 0.3216
0.5000 0.5000 0.8216
```

Energy relative to the elements, uncorrected in kJ/mol of formula units, matching the order above: -3342, 102
Uncorrected energy in eV/atom, matching the order above: -5.98, -7.20